MgMn2SnO6: optimized geometry, GGA+U.

```
MgMn2SnO6
1.0
2.6198 1.5126 4.7459
-2.6198 1.5126 4.7459
0.0000 -3.0251 4.7459
Mg Mn Sn O
1 2 1 6
direct
0.0000 0.0000 0.0000
0.2850 0.2850 0.2850
0.7956 0.7956 0.7956
0.4905 0.4905 0.4905
0.0688 0.6907 0.4200
0.1793 0.5979 0.8834
0.4200 0.0688 0.6907
0.5979 0.8834 0.1793
0.6907 0.4200 0.0688
0.8834 0.1793 0.5979
```

Properties
Final energy   -68.28 eV per cell
Symmetry   R3, No. 146